Here is As3AuBr after structural relaxation from the Alexandria database. Energies are from PBE-GGA. Values from VASP.

Geometry as Quantum ESPRESSO input:
```
&SYSTEM
  ibrav = 0, nat = 5, ntyp = 3
/
ATOMIC_SPECIES
As 74.92 As.upf
Au 196.97 Au.upf
Br 79.90 Br.upf
CELL_PARAMETERS angstrom
5.056 0.000 0.000
0.000 5.056 0.000
0.000 0.000 5.056
ATOMIC_POSITIONS crystal
As 0.000 0.000 0.500
As 0.000 0.500 0.000
As 0.500 0.000 0.000
Au 0.500 0.500 0.500
Br 0.000 0.000 0.000
```

Values from the calculation:
Space-group type: No. 221
Raw formation energy (eV per atom): 1.3645